[1]
A relaxed structure of Li2CaMo. Source: Alexandria, functional PBE.

a b c (Å): 4.9342 4.9342 4.9342
angles (deg): 60.00 60.00 60.00
Last column: nearest neighbours and their distance in Å.
Positions (direct):
Ca1 0.0000 0.0000 0.0000  8 Li 3.02
Li1 0.2500 0.2500 0.2500  4 Mo 3.02, 4 Ca 3.02
Li2 0.7500 0.7500 0.7500  4 Mo 3.02, 4 Ca 3.02
Mo1 0.5000 0.5000 0.5000  8 Li 3.02

Output
Space-group type   Fm-3m (225)
Formation enthalpy at 0 K   279 kJ/mol of formula units
Polymorph energy (0 for the lowest one)   0.237 eV/atom
Magnetization   3.31 Bohr magnetons per cell
Energy   -3.443 eV per atom



[2]
A relaxed structure of LiCaMo2. Source: Alexandria, functional PBE.

a b c (Å): 5.1489 3.7776 3.7776
angles (deg): 90.00 90.00 90.00
Last column: nearest neighbours and their distance in Å.
Positions (direct):
Ca1 0.5000 0.5000 0.0000  4 Li 2.67
Li1 0.5000 0.0000 0.5000  4 Ca 2.67
Mo1 0.0000 0.0000 0.0000  4 Mo 2.67
Mo2 0.0000 0.5000 0.5000  4 Mo 2.67

Output
Space-group type   P4/mmm (123)
Formation enthalpy at 0 K   240 kJ/mol of formula units
Polymorph energy (0 for the lowest one)   0.232 eV/atom
Magnetization   0.00 Bohr magnetons per cell
Energy   -5.773 eV per atom